[1]
A plane-wave DFT calculation with PBE-GGA was carried out for a relaxed TaInTc crystal.

Summary:
Theoretical density: 10.5 g/cm³
E_tot: -94.29 eV/cell

```
data_TaInTc
_symmetry_space_group_name_H-M 'F -4 3 m'
_symmetry_Int_Tables_number 216
_symmetry_space_group_name_Hall 'F -4 2 3'
_cell_length_a 6.282
_cell_length_b 6.282
_cell_length_c 6.282
_cell_angle_alpha 90.00
_cell_angle_beta 90.00
_cell_angle_gamma 90.00
loop_
_atom_site_label
_atom_site_fract_x
_atom_site_fract_y
_atom_site_fract_z
Ta1 0.000 0.000 0.000
In1 0.000 0.000 0.500
Tc1 0.250 0.250 0.750
```

[2]
A plane-wave DFT calculation with PBE-GGA was carried out for a relaxed LiLuAl2 crystal.

Summary:
Theoretical density: 5.3 g/cm³
E_tot: -58.28 eV/cell

```
data_LiLuAl2
_symmetry_space_group_name_H-M 'F -4 3 m'
_symmetry_Int_Tables_number 216
_symmetry_space_group_name_Hall 'F -4 2 3'
_cell_length_a 6.642
_cell_length_b 6.642
_cell_length_c 6.642
_cell_angle_alpha 90.00
_cell_angle_beta 90.00
_cell_angle_gamma 90.00
loop_
_atom_site_label
_atom_site_fract_x
_atom_site_fract_y
_atom_site_fract_z
Li1 0.000 0.000 0.000
Lu1 0.250 0.250 0.250
Al1 0.000 0.000 0.500
Al2 0.250 0.250 0.750
```

[3]
A plane-wave DFT calculation with PBE-GGA was carried out for a relaxed Li2MgScIn2Cu2 crystal.

Summary:
Theoretical density: 5.5 g/cm³
E_tot: -26.70 eV/cell

```
data_Li2MgScIn2Cu2
_symmetry_space_group_name_H-M 'P -4 m 2'
_symmetry_Int_Tables_number 115
_cell_length_a 4.561
_cell_length_b 4.561
_cell_length_c 6.406
_cell_angle_alpha 90.00
_cell_angle_beta 90.00
_cell_angle_gamma 90.00
loop_
_symmetry_equiv_pos_as_xyz
'x,y,z'
'y,-x,-z'
'-x,-y,z'
'-y,x,-z'
'-x,y,z'
'-y,-x,-z'
'x,-y,z'
'y,x,-z'
loop_
_atom_site_label
_atom_site_fract_x
_atom_site_fract_y
_atom_site_fract_z
Li1 0.000 0.500 0.242
Mg1 0.500 0.500 0.000
Sc1 0.000 0.000 0.500
In1 0.000 0.000 0.000
In2 0.500 0.500 0.500
Cu1 0.000 0.500 0.747
```

[4]
A plane-wave DFT calculation with PBE-GGA was carried out for a relaxed NbTc2Ag crystal.

Summary:
Theoretical density: 10.2 g/cm³
E_tot: -127.99 eV/cell
Formation enthalpy at 0 K: 0.4102 eV per atom

```
data_NbTc2Ag
_symmetry_space_group_name_H-M 'F -4 3 m'
_symmetry_Int_Tables_number 216
_symmetry_space_group_name_Hall 'F -4 2 3'
_cell_length_a 6.367
_cell_length_b 6.367
_cell_length_c 6.367
_cell_angle_alpha 90.00
_cell_angle_beta 90.00
_cell_angle_gamma 90.00
loop_
_atom_site_label
_atom_site_fract_x
_atom_site_fract_y
_atom_site_fract_z
Nb1 0.000 0.000 0.000
Tc1 0.000 0.000 0.500
Tc2 0.250 0.250 0.750
Ag1 0.250 0.250 0.250
```